{
  "formula": "BaSiSeN2",
  "functional": "PBE",
  "state": "relaxed",
  "e_above_lowest_polymorph_mev_per_atom": 1600,
  "e_form_raw_ev_per_atom": 1.82,
  "energy_ev_per_cell": -18.4,
  "dos_ef_per_ev_fu": 4.325,
  "lattice": [[-2.7836, -1.0948, -3.1699], [2.9531, -2.7526, -1.6425], [-2.4217, -4.8710, 3.8089]],
  "species": ["Se", "Ba", "N", "N", "Si"],
  "fractional_positions": [[0.0000, 0.0000, 0.5000], [0.0000, 0.0000, 0.0000], [0.0000, 0.5000, 0.0000], [0.5000, 0.0000, 0.0000], [0.5000, 0.5000, 0.5000]]
}